YPbSe3 | the Alexandria database | PBE-GGA | optimized geometry; volume = 30.60 Å³/atom; SG = No. 221; raw formation energy = -0.88 eV/f.u.; crystal system = cubic; N(E_F) = 0.86 states/eV per cell; energy above the lowest structure with this stoichiometry = 0.503 eV/atom
1.0
5.349 0.000 0.000
0.000 5.349 0.000
0.000 0.000 5.349
Se Pb Y
3 1 1
Cartesian
2.674 0.000 0.000
0.000 2.674 0.000
0.000 0.000 2.674
0.000 0.000 0.000
2.674 2.674 2.674


Y2PbSe | the Alexandria database | PBE-GGA | optimized geometry; volume = 27.98 Å³/atom; SG = No. 123; raw formation energy = -4.58 eV/f.u.; crystal system = tetragonal; N(E_F) = 0.89 states/eV per cell; energy above the lowest structure with this stoichiometry = 0.016 eV/atom
1.0
6.065 0.000 0.000
0.000 4.296 0.002
0.000 -0.002 4.295
Se Y Pb
1 2 1
Cartesian
3.033 3.758 3.760
0.000 3.758 3.760
3.033 1.610 1.611
0.000 1.611 1.611


Y2PbSe | the Alexandria database | PBE-GGA | optimized geometry; volume = 27.94 Å³/atom; SG = No. 44; raw formation energy = -4.05 eV/f.u.; crystal system = orthorhombic; N(E_F) = 2.25 states/eV per cell; energy above the lowest structure with this stoichiometry = 0.146 eV/atom
1.0
-6.190 -4.792 -2.494
-2.310 -4.872 -6.199
5.348 2.733 5.606
Se Pb Y
1 1 2
Cartesian
-0.237 -3.065 -2.092
-3.787 -4.306 -3.873
-0.548 -0.623 -0.560
-2.831 -3.769 -0.908


Y2PbSe4 | the Alexandria database | PBE-GGA | optimized geometry; volume = 28.42 Å³/atom; SG = No. 63; raw formation energy = -10.47 eV/f.u.; crystal system = orthorhombic; energy above the lowest structure with this stoichiometry = 0.000 eV/atom
1.0
4.125 0.000 0.000
-2.063 6.793 0.000
0.000 0.000 14.200
Y Se Pb
4 8 2
Cartesian
2.063 4.942 13.256
2.063 4.942 8.044
0.000 1.851 0.944
0.000 1.851 6.156
0.000 3.120 8.736
0.000 0.682 3.550
2.063 3.673 1.636
2.063 0.000 0.000
0.000 3.120 12.564
2.063 3.673 5.464
2.063 6.111 10.650
2.063 0.000 7.100
2.063 1.416 10.650
0.000 5.377 3.550


Y4PbSe2 | the Alexandria database | PBE-GGA | optimized geometry; volume = 27.66 Å³/atom; SG = No. 166; raw formation energy = -7.94 eV/f.u.; crystal system = trigonal; N(E_F) = 5.81 states/eV per cell; energy above the lowest structure with this stoichiometry = 0.075 eV/atom
1.0
3.939 0.000 0.000
1.969 3.411 0.000
1.969 1.137 14.412
Pb Se Y
1 2 4
Cartesian
0.000 0.000 0.000
3.939 2.274 10.425
3.939 2.274 3.986
1.969 1.137 2.274
5.908 3.411 5.806
1.969 1.137 8.605
5.908 3.411 12.138


Y4PbSe | the Alexandria database | PBE-GGA | optimized geometry; volume = 29.45 Å³/atom; SG = No. 216; raw formation energy = 0.38 eV/f.u.; crystal system = cubic; N(E_F) = 7.46 states/eV per cell
1.0
2.877 -5.323 1.752
-0.505 -2.047 5.936
-3.401 -5.145 1.279
Y Pb Se
4 1 1
Cartesian
1.041 -7.346 4.240
-0.387 -4.705 3.371
-0.638 -5.720 6.316
-2.075 -7.258 4.005
-0.772 -9.386 6.724
0.000 0.000 0.000


Y2PbSe | the Alexandria database | PBE-GGA | optimized geometry; volume = 26.75 Å³/atom; SG = No. 12; raw formation energy = -3.53 eV/f.u.; crystal system = monoclinic; N(E_F) = 2.75 states/eV per cell; energy above the lowest structure with this stoichiometry = 0.278 eV/atom
1.0
-5.440 5.491 0.138
0.295 -4.407 -3.271
-3.013 -1.691 1.105
Y Pb Se
2 1 1
Cartesian
-4.226 1.900 0.621
0.000 0.000 0.000
-1.359 -3.049 -1.083
-2.573 0.542 -1.567


Zn2PbSe | the Alexandria database | PBE-GGA | optimized geometry; volume = 22.77 Å³/atom; SG = No. 65; raw formation energy = 0.46 eV/f.u.; crystal system = orthorhombic; N(E_F) = 1.59 states/eV per cell; energy above the lowest structure with this stoichiometry = 0.261 eV/atom
1.0
-2.708 -1.759 -3.499
4.381 -1.373 -1.263
-0.481 -3.494 2.129
Se Zn Pb
1 2 1
Cartesian
1.950 -2.433 0.433
0.000 0.000 0.000
0.837 -1.566 -2.381
-1.594 -2.627 -0.685


Zn2PbSe | the Alexandria database | PBE-GGA | optimized geometry; volume = 22.11 Å³/atom; SG = No. 225; raw formation energy = 0.92 eV/f.u.; crystal system = cubic; N(E_F) = 3.15 states/eV per cell; energy above the lowest structure with this stoichiometry = 0.373 eV/atom
1.0
0.000 3.536 3.536
3.536 0.000 3.536
3.536 3.536 0.000
Pb Zn Se
1 2 1
Cartesian
3.536 3.536 3.536
1.768 1.768 1.768
5.304 5.304 5.304
0.000 0.000 0.000


Zn2PbSe | the Alexandria database | PBE-GGA | optimized geometry; volume = 24.50 Å³/atom; SG = No. 10; raw formation energy = -0.34 eV/f.u.; crystal system = monoclinic; N(E_F) = 1.12 states/eV per cell; energy above the lowest structure with this stoichiometry = 0.058 eV/atom
1.0
3.782 0.000 0.000
0.000 5.011 -0.008
0.000 1.590 5.169
Se Pb Zn
1 1 2
Cartesian
1.891 4.951 3.871
1.891 1.650 1.290
0.000 3.729 2.495
0.000 4.584 0.078


Zn2PbSe | the Alexandria database | PBE-GGA | optimized geometry; volume = 23.72 Å³/atom; SG = No. 65; raw formation energy = 0.09 eV/f.u.; crystal system = orthorhombic; N(E_F) = 0.79 states/eV per cell; energy above the lowest structure with this stoichiometry = 0.166 eV/atom
1.0
3.691 -0.037 0.000
-1.563 3.344 0.000
0.000 0.000 7.722
Zn Se Pb
2 1 1
Cartesian
0.000 0.000 7.429
0.000 0.000 4.154
1.064 1.653 5.792
1.064 1.653 1.931


Zn2PbSe | the Alexandria database | PBE-GGA | optimized geometry; volume = 22.44 Å³/atom; SG = No. 119; raw formation energy = 0.34 eV/f.u.; crystal system = tetragonal; N(E_F) = 1.72 states/eV per cell; energy above the lowest structure with this stoichiometry = 0.229 eV/atom
1.0
-4.747 0.685 3.870
-1.882 -4.281 4.015
5.085 2.877 -1.962
Zn Se Pb
2 1 1
Cartesian
0.000 0.000 0.000
-0.055 -1.601 2.998
-1.488 0.882 2.926
-3.315 -1.798 3.943


ZnPbSe2 | the Alexandria database | PBE-GGA | optimized geometry; volume = 36.39 Å³/atom; SG = No. 166; raw formation energy = -1.55 eV/f.u.; crystal system = trigonal
1.0
7.962 0.000 0.000
6.550 4.526 0.000
6.550 2.043 4.039
Se Zn Pb
2 1 1
Cartesian
2.127 0.664 0.408
18.935 5.906 3.631
0.000 0.000 0.000
10.531 3.285 2.019


ZnPbSe3 | the Alexandria database | PBE-GGA | optimized geometry; volume = 32.84 Å³/atom; SG = No. 221; raw formation energy = 3.01 eV/f.u.; crystal system = cubic; N(E_F) = 8.39 states/eV per cell; energy above the lowest structure with this stoichiometry = 0.612 eV/atom
1.0
5.476 0.000 0.000
0.000 5.476 0.000
0.000 0.000 5.476
Se Zn Pb
3 1 1
Cartesian
2.738 0.000 0.000
0.000 2.738 0.000
0.000 0.000 2.738
2.738 2.738 2.738
0.000 0.000 0.000


ZnPbSe2 | the Alexandria database | PBE-GGA | optimized geometry; volume = 26.98 Å³/atom; SG = No. 160; raw formation energy = -1.81 eV/f.u.; crystal system = trigonal
1.0
7.880 -0.079 -0.048
6.869 3.863 -0.048
6.869 1.762 3.438
Zn Pb Se
1 1 2
Cartesian
12.192 3.128 1.885
15.991 4.102 2.472
4.252 1.091 0.657
21.609 5.544 3.341


Zn2PbSe2 | the Alexandria database | PBE-GGA | optimized geometry; volume = 22.63 Å³/atom; SG = No. 139; raw formation energy = -0.95 eV/f.u.; crystal system = tetragonal; N(E_F) = 2.07 states/eV per cell; energy above the lowest structure with this stoichiometry = 0.000 eV/atom
1.0
-0.930 -3.720 -3.317
2.624 -3.234 2.891
-2.831 -4.507 1.974
Zn Se Pb
2 2 1
Cartesian
-0.172 -3.763 0.393
-0.964 -7.699 1.155
0.320 -5.609 2.326
-1.457 -5.852 -0.778
0.000 0.000 0.000


ZnPbSe | the Alexandria database | PBE-GGA | optimized geometry; volume = 24.96 Å³/atom; SG = No. 107; raw formation energy = -0.37 eV/f.u.; crystal system = tetragonal; N(E_F) = 0.98 states/eV per cell; energy above the lowest structure with this stoichiometry = 0.174 eV/atom
1.0
6.338 0.049 0.000
4.268 4.686 0.000
-5.303 -2.368 2.539
Zn Se Pb
1 1 1
Cartesian
7.508 3.352 0.000
2.887 1.289 0.000
0.212 0.094 0.000


ZnPbSe | the Alexandria database | PBE-GGA | optimized geometry; volume = 26.41 Å³/atom; SG = No. 8; raw formation energy = -0.90 eV/f.u.; crystal system = monoclinic; N(E_F) = 1.39 states/eV per cell; energy above the lowest structure with this stoichiometry = 0.000 eV/atom
1.0
3.949 0.029 0.015
1.998 3.406 0.015
1.341 0.775 11.837
Pb Zn Se
2 2 2
Cartesian
4.591 2.652 0.611
0.579 0.334 3.147
2.046 1.182 8.958
4.047 2.338 5.502
4.015 2.319 9.959
2.078 1.200 6.481


ZnPbSe2 | the Alexandria database | PBE-GGA | optimized geometry; volume = 29.83 Å³/atom; SG = No. 8; raw formation energy = -1.85 eV/f.u.; crystal system = monoclinic
1.0
6.438 -0.041 -0.138
5.159 3.852 -0.138
-0.125 -0.041 4.772
Pb Zn Se
1 1 2
Cartesian
8.763 2.880 3.954
5.185 1.704 2.455
3.157 1.037 1.352
-0.021 -0.007 3.757


Zn2PbSe2 | the Alexandria database | PBE-GGA | optimized geometry; volume = 24.53 Å³/atom; SG = No. 139; raw formation energy = -0.82 eV/f.u.; crystal system = tetragonal; N(E_F) = 2.87 states/eV per cell; energy above the lowest structure with this stoichiometry = 0.027 eV/atom
1.0
3.964 0.000 0.000
0.000 3.964 0.000
1.982 1.982 7.808
Pb Se Zn
1 2 2
Cartesian
0.000 0.000 0.000
1.982 1.982 2.252
3.964 3.964 5.556
1.982 3.964 3.904
3.964 1.982 3.904


ZnPbSe2 | the Alexandria database | PBE-GGA | optimized geometry; volume = 25.81 Å³/atom; SG = No. 10; raw formation energy = -1.26 eV/f.u.; crystal system = monoclinic; N(E_F) = 1.17 states/eV per cell
1.0
-2.168 -2.448 1.631
2.504 -2.946 -1.094
4.311 -0.035 5.676
Se Zn Pb
2 1 1
Cartesian
2.912 -0.955 2.435
0.496 -0.535 -0.144
0.620 -1.969 1.961
4.027 -3.460 4.252


Zn2PbSe | the Alexandria database | PBE-GGA | optimized geometry; volume = 23.38 Å³/atom; SG = No. 12; raw formation energy = 0.23 eV/f.u.; crystal system = monoclinic; N(E_F) = 1.56 states/eV per cell; energy above the lowest structure with this stoichiometry = 0.203 eV/atom
1.0
-2.145 -4.307 -0.707
3.290 0.239 -3.574
3.128 -3.099 1.017
Zn Pb Se
2 1 1
Cartesian
0.000 0.000 0.000
0.572 -2.034 -2.140
0.491 -3.703 0.155
3.209 -1.430 -1.279


Zn2PbSe | the Alexandria database | PBE-GGA | optimized geometry; volume = 24.11 Å³/atom; SG = No. 8; raw formation energy = -0.29 eV/f.u.; crystal system = monoclinic; N(E_F) = 1.26 states/eV per cell; energy above the lowest structure with this stoichiometry = 0.072 eV/atom
1.0
4.631 0.026 -0.056
2.835 3.662 -0.056
1.493 0.737 5.689
Zn Pb Se
2 1 1
Cartesian
6.832 3.376 4.767
1.613 0.797 5.211
4.583 2.264 3.059
1.903 0.940 1.019


Zn2PbSe | the Alexandria database | PBE-GGA | optimized geometry; volume = 27.49 Å³/atom; SG = No. 122; raw formation energy = -0.23 eV/f.u.; crystal system = tetragonal; N(E_F) = 0.67 states/eV per cell; energy above the lowest structure with this stoichiometry = 0.086 eV/atom
1.0
6.446 0.000 0.000
0.000 6.446 0.000
3.223 3.223 5.294
Zn Pb Se
4 2 2
Cartesian
8.057 7.816 3.971
4.834 5.075 3.971
4.593 1.611 1.324
1.852 4.834 1.324
0.000 0.000 0.000
6.446 3.223 2.647
3.223 6.446 2.647
3.223 3.223 0.000


ZnPbSe2 | the Alexandria database | PBE-GGA | optimized geometry; volume = 23.46 Å³/atom; SG = No. 123; raw formation energy = -0.18 eV/f.u.; crystal system = tetragonal; N(E_F) = 2.48 states/eV per cell
1.0
5.060 0.046 0.000
-0.046 5.060 0.000
0.000 0.000 3.664
Pb Se Zn
1 2 1
Cartesian
-0.023 2.530 1.832
0.000 0.000 0.000
2.507 2.553 0.000
2.530 0.023 1.832


ZnPbSe2 | the Alexandria database | PBE-GGA | optimized geometry; volume = 23.44 Å³/atom; SG = No. 216; raw formation energy = 0.75 eV/f.u.; crystal system = cubic; N(E_F) = 3.62 states/eV per cell
1.0
5.099 0.000 0.000
2.550 4.416 0.000
2.550 1.472 4.163
Se Zn Pb
2 1 1
Cartesian
2.550 1.472 1.041
0.000 0.000 0.000
7.649 4.416 3.123
5.099 2.944 2.082


ZnPbSe2 | the Alexandria database | PBE-GGA | optimized geometry; volume = 25.36 Å³/atom; SG = No. 166; raw formation energy = -0.62 eV/f.u.; crystal system = trigonal; N(E_F) = 2.87 states/eV per cell
1.0
2.058 0.000 9.213
-1.029 1.783 9.213
-1.029 -1.783 9.213
Zn Se Pb
1 2 1
Cartesian
0.000 0.000 13.820
0.000 0.000 3.034
0.000 0.000 24.606
0.000 0.000 0.000


Zn2PbSe | the Alexandria database | PBE-GGA | optimized geometry; volume = 23.68 Å³/atom; SG = No. 216; raw formation energy = 0.66 eV/f.u.; crystal system = cubic; N(E_F) = 2.87 states/eV per cell; energy above the lowest structure with this stoichiometry = 0.309 eV/atom
1.0
-3.693 -0.554 -3.498
1.205 -1.225 -4.819
-1.127 -4.649 -1.816
Zn Pb Se
2 1 1
Cartesian
0.000 0.000 0.000
-0.904 -1.607 -2.533
-1.808 -3.214 -5.067
-2.711 -4.821 -7.600


Zn2PbSe | the Alexandria database | PBE-GGA | optimized geometry; volume = 22.99 Å³/atom; SG = No. 44; raw formation energy = -0.09 eV/f.u.; crystal system = orthorhombic; N(E_F) = 1.15 states/eV per cell; energy above the lowest structure with this stoichiometry = 0.122 eV/atom
1.0
-3.815 -1.750 -6.114
1.011 -3.491 -6.465
0.671 0.407 7.375
Zn Pb Se
2 1 1
Cartesian
-2.341 -2.110 -2.821
-0.199 -0.371 -0.891
-1.257 -2.350 -5.642
0.263 -2.623 -2.140